Entry 1:
# BaTc2HO (PBE-GGA, relaxed)
data_BaTc2HO
_chemical_formula_sum 'Ba1 Tc2 H1 O1'
_cell_length_a 6.106
_cell_length_b 6.106
_cell_length_c 4.636
_cell_angle_alpha 90.00
_cell_angle_beta 90.00
_cell_angle_gamma 90.00
_space_group_name_H-M_alt 'P 4/m m m'
_space_group_IT_number 123
_space_group_name_Hall '-P 4 2'
loop_
_atom_site_label
_atom_site_type_symbol
_atom_site_fract_x
_atom_site_fract_y
_atom_site_fract_z
Ba1 Ba 0.000 0.000 0.000
Tc1 Tc 0.000 0.500 0.000
H1 H 0.500 0.500 0.500
O1 O 0.000 0.000 0.500
# Fermi-level density of states   2.66 states/eV per cell
# Uncorrected energy   -3.895 eV per atom

Entry 2:
# GdAsAu (PBE-GGA, relaxed)
data_GdAsAu
_chemical_formula_sum 'Gd1 As1 Au1'
_cell_length_a 4.3596
_cell_length_b 4.3596
_cell_length_c 4.0704
_cell_angle_alpha 90.00
_cell_angle_beta 90.00
_cell_angle_gamma 120.00
_space_group_name_H-M_alt 'P 3 m 1'
_space_group_IT_number 156
loop_
_space_group_symop_operation_xyz
'x,y,z'
'-y,x-y,z'
'-x+y,-x,z'
'-y,-x,z'
'-x+y,y,z'
'x,x-y,z'
loop_
_atom_site_label
_atom_site_type_symbol
_atom_site_fract_x
_atom_site_fract_y
_atom_site_fract_z
Gd1 Gd 0.0000 0.0000 0.0000
As1 As 0.6667 0.3333 0.5728
Au1 Au 0.3333 0.6667 0.4251
# Fermi-level density of states   2.38 states/eV per cell
# Energy of formation from the pure elements   -0.884 eV/atom
# Uncorrected energy   -8.220 eV per atom

Entry 3:
# BeReSi (PBE-GGA, relaxed)
data_BeReSi
_chemical_formula_sum 'Be2 Re2 Si2'
_cell_length_a 2.632
_cell_length_b 2.632
_cell_length_c 11.039
_cell_angle_alpha 90.00
_cell_angle_beta 90.00
_cell_angle_gamma 90.00
_space_group_name_H-M_alt 'I 4 m m'
_space_group_IT_number 107
_space_group_name_Hall 'I 4 -2'
loop_
_atom_site_label
_atom_site_type_symbol
_atom_site_fract_x
_atom_site_fract_y
_atom_site_fract_z
Be1 Be 0.000 0.000 0.000
Re1 Re 0.000 0.000 0.656
Si1 Si 0.000 0.000 0.334
# Fermi-level density of states   3.41 states/eV per cell
# Uncorrected energy   -6.830 eV per atom
# ΔE_f (raw)   0.37 eV/atom
# Distance to the lowest polymorph of the same formula   55.42 kJ/mol of atoms